[1]
TiFe3Ir: optimized geometry, GGA-PBE.

```
TiFe3Ir
1.0
4.600 0.000 0.000
0.000 4.600 0.000
0.000 0.000 4.600
Ti Fe Ir
1 3 1
direct
0.000 0.000 0.000
0.000 0.500 0.500
0.500 0.000 0.500
0.500 0.500 0.000
0.500 0.500 0.500
```

Values from the calculation:
Energy above the lowest structure with this stoichiometry = 0.0000 eV per atom
DFT total energy = -7.3021 eV/atom
Space-group type = No. 221



[2]
TiFe2Ir2: optimized geometry, GGA-PBE.

```
TiFe2Ir2
1.0
7.101 0.000 0.000
0.000 7.101 0.000
0.000 0.000 2.704
Ti Fe Ir
2 4 4
direct
0.000 0.000 0.000
0.500 0.500 0.000
0.117 0.383 0.000
0.383 0.883 0.000
0.617 0.117 0.000
0.883 0.617 0.000
0.178 0.678 0.500
0.322 0.178 0.500
0.678 0.822 0.500
0.822 0.322 0.500
```

Values from the calculation:
Energy above the lowest structure with this stoichiometry = 0.0000 eV per atom
DFT total energy = -8.6988 eV/atom
Space-group type = No. 127



[3]
TiTlFe2Ir: optimized geometry, GGA-PBE.

```
TiTlFe2Ir
1.0
4.471 0.000 0.000
0.000 4.471 0.000
0.000 0.000 5.069
Ti Tl Fe Ir
1 1 2 1
direct
0.000 0.000 0.000
0.500 0.500 0.000
0.000 0.500 0.500
0.500 0.000 0.500
0.500 0.500 0.500
```

Values from the calculation:
DFT total energy = -5.7724 eV/atom
Space-group type = No. 123



[4]
TmTiFeIr: optimized geometry, GGA-PBE.

```
TmTiFeIr
1.0
0.000 3.195 3.195
3.195 0.000 3.195
3.195 3.195 0.000
Tm Ti Fe Ir
1 1 1 1
direct
0.000 0.000 0.000
0.500 0.500 0.500
0.750 0.750 0.750
0.250 0.250 0.250
```

Values from the calculation:
DFT total energy = -7.8645 eV/atom
Space-group type = No. 216



[5]
TiVFeIr: optimized geometry, GGA-PBE.

```
TiVFeIr
1.0
0.000 3.018 3.018
3.018 0.000 3.018
3.018 3.018 0.000
Ti V Fe Ir
1 1 1 1
direct
0.000 0.000 0.000
0.500 0.500 0.500
0.750 0.750 0.750
0.250 0.250 0.250
```

Values from the calculation:
DFT total energy = -9.0137 eV/atom
Space-group type = No. 216



[6]
Ti5Zn2FeIr2: optimized geometry, GGA-PBE.

```
Ti5Zn2FeIr2
1.0
10.580 0.000 0.000
0.000 10.580 0.000
0.000 0.000 2.958
Ti Zn Fe Ir
10 4 2 4
direct
0.000 0.500 0.000
0.069 0.180 0.000
0.180 0.931 0.000
0.320 0.431 0.000
0.431 0.680 0.000
0.500 0.000 0.000
0.569 0.320 0.000
0.680 0.569 0.000
0.820 0.069 0.000
0.931 0.820 0.000
0.171 0.671 0.500
0.329 0.171 0.500
0.671 0.829 0.500
0.829 0.329 0.500
0.000 0.000 0.500
0.500 0.500 0.500
0.137 0.363 0.500
0.363 0.863 0.500
0.637 0.137 0.500
0.863 0.637 0.500
```

Values from the calculation:
DFT total energy = -7.1225 eV/atom
Space-group type = No. 127



[7]
ZrTiFeIr: optimized geometry, GGA-PBE.

```
ZrTiFeIr
1.0
0.000 3.167 3.167
3.167 0.000 3.167
3.167 3.167 0.000
Zr Ti Fe Ir
1 1 1 1
direct
0.000 0.000 0.000
0.500 0.500 0.500
0.250 0.250 0.250
0.750 0.750 0.750
```

Values from the calculation:
DFT total energy = -8.9809 eV/atom
Space-group type = No. 216



[8]
TlFeIr4: optimized geometry, GGA-PBE.

```
TlFeIr4
1.0
0.000 3.703 3.703
3.703 0.000 3.703
3.703 3.703 0.000
Tl Fe Ir
1 1 4
direct
0.000 0.000 0.000
0.750 0.750 0.750
0.375 0.375 0.375
0.375 0.375 0.874
0.375 0.874 0.375
0.874 0.375 0.375
```

Values from the calculation:
DFT total energy = -7.1553 eV/atom
Space-group type = No. 216



[9]
TlFeIr: optimized geometry, GGA-PBE.

```
TlFeIr
1.0
-1.496 1.496 5.676
1.496 -1.496 5.676
1.496 1.496 -5.676
Tl Fe Ir
1 1 1
direct
0.000 0.000 0.000
0.684 0.684 0.000
0.313 0.313 0.000
```

Values from the calculation:
Energy above the lowest structure with this stoichiometry = 0.0000 eV per atom
DFT total energy = -6.1401 eV/atom
Space-group type = No. 107



[10]
TlFeIr: optimized geometry, GGA-PBE.

```
TlFeIr
1.0
0.000 3.101 3.101
3.101 0.000 3.101
3.101 3.101 0.000
Tl Fe Ir
1 1 1
direct
0.000 0.000 0.000
0.500 0.500 0.500
0.250 0.250 0.250
```

Values from the calculation:
Energy above the lowest structure with this stoichiometry = 0.1390 eV per atom
DFT total energy = -6.0011 eV/atom
Space-group type = No. 216



[11]
TlFe2Ir2: optimized geometry, GGA-PBE.

```
TlFe2Ir2
1.0
7.364 0.000 0.000
0.000 7.364 0.000
0.000 0.000 2.745
Tl Fe Ir
2 4 4
direct
0.000 0.000 0.000
0.500 0.500 0.000
0.165 0.335 0.500
0.335 0.835 0.500
0.665 0.165 0.500
0.835 0.665 0.500
0.128 0.628 0.000
0.372 0.128 0.000
0.628 0.872 0.000
0.872 0.372 0.000
```

Values from the calculation:
DFT total energy = -6.9458 eV/atom
Space-group type = No. 127



[12]
TlFeIr: optimized geometry, GGA-PBE.

```
TlFeIr
1.0
4.398 0.000 0.000
-2.199 3.809 0.000
0.000 0.000 3.037
Tl Fe Ir
1 1 1
direct
0.000 0.000 0.000
0.667 0.333 0.437
0.333 0.667 0.541
```

Values from the calculation:
Energy above the lowest structure with this stoichiometry = 0.0831 eV per atom
DFT total energy = -6.0570 eV/atom
Space-group type = No. 156



| no. | formation energy from the elements (eV per atom) |
| --- | --- |
| 1 | 1.127 |
| 2 | -0.190 |
| 3 | 1.437 |
| 4 | -0.442 |
| 5 | -0.429 |
| 6 | -0.302 |
| 7 | -0.539 |
| 8 | 0.557 |
| 9 | 0.423 |
| 10 | 0.562 |
| 11 | 0.457 |
| 12 | 0.506 |